Here is a relaxed structure of Sn2HgPb3Se6 from the Alexandria database. Energies are from GGA-PBE.

```
Sn2HgPb3Se6
1.0
9.3626 -2.1638 0.0000
9.3626 2.1638 0.0000
-2.0649 0.0000 8.3712
Sn Hg Pb Se
2 1 3 6
direct
0.1644 0.1644 0.3318
0.8356 0.8356 0.6682
0.5000 0.5000 0.0000
0.1659 0.1659 0.8336
0.5000 0.5000 0.5000
0.8341 0.8341 0.1664
0.9996 0.9996 0.2419
0.0004 0.0004 0.7581
0.3308 0.3308 0.4208
0.3408 0.3408 0.9154
0.6592 0.6592 0.0846
0.6692 0.6692 0.5792
```

Properties
Raw total energy ... -45.41 eV per formula unit
Density ... 7.51 Mg/m³
Formation energy without anion corrections ... -0.423 eV per atom